# Ca2CrO3 GGA+U optimized geometry
# Calculated total energy in eV per atom: -6.84
data_Ca2CrO3
_chemical_formula_sum 'Ca4 Cr2 O6'
_cell_length_a 3.2511
_cell_length_b 4.9736
_cell_length_c 9.7458
_cell_angle_alpha 90.00
_cell_angle_beta 90.00
_cell_angle_gamma 90.00
_space_group_name_H-M_alt 'I m m m'
_space_group_IT_number 71
_space_group_name_Hall '-I 2 2'
loop_
_atom_site_label
_atom_site_type_symbol
_atom_site_fract_x
_atom_site_fract_y
_atom_site_fract_z
_atom_site_occupancy
Ca1 Ca 0.0000 0.0000 0.1642 1
Cr1 Cr 0.0000 0.0000 0.5000 1
O1 O 0.0000 0.5000 0.1526 1
O2 O 0.0000 0.5000 0.5000 1